# 1
A relaxed structure of Li3HBr. Source: Alexandria via LeMat-Bulk, functional PBEsol.

Cell lengths 4.2362, 4.2362, 4.2362 Å; angles 90.00, 90.00, 90.00 degrees
Space group Pm-3m (No. 221)
Asymmetric unit:
Li  0.0000  0.0000  0.5000 x3
H  0.0000  0.0000  0.0000 x1
Br  0.5000  0.5000  0.5000 x1

Properties
DOS at the Fermi energy: 1.2 states/eV/f.u.
uncorrected energy: -2.76 eV per atom

# 2
A relaxed structure of Hg2SbAs. Source: Alexandria via LeMat-Bulk, functional PBEsol.

Cell lengths 7.1363, 7.1363, 7.1363 Å; angles 90.00, 90.00, 90.00 degrees
Space group Fm-3m (No. 225)
Asymmetric unit:
Hg  0.2500  0.2500  0.2500 x8
Sb  0.0000  0.0000  0.0000 x4
As  0.0000  0.0000  0.5000 x4

Properties
formation energy without anion corrections: 324 meV/atom
DOS at the Fermi energy: 2.1 states/eV/f.u.
uncorrected energy: -2.38 eV per atom

# 3
A relaxed structure of ZrBrCl2. Source: Alexandria via LeMat-Bulk, functional PBEsol.

Cell lengths 4.3689, 4.3689, 7.9419 Å; angles 90.00, 90.00, 90.00 degrees
Space group I4/mmm (No. 139)
Asymmetric unit:
Zr  0.0000  0.0000  0.0000 x2
Br  0.0000  0.0000  0.5000 x2
Cl  0.0000  0.5000  0.2500 x4

Properties
formation energy without anion corrections: -763 meV/atom
DOS at the Fermi energy: 2.4 states/eV/f.u.
uncorrected energy: -4.51 eV per atom